Entry 1:
Entry from Alexandria via LeMat-Bulk: a relaxed ReNiS3 crystal (PBE-GGA).

Unit cell a=4.602 b=4.602 c=4.602 alpha=90.00 beta=90.00 gamma=90.00
Sites, in units of the cell vectors:
Re  0.000  0.000  0.000
S  0.000  0.500  0.000
S  0.000  0.000  0.500
S  0.500  0.000  0.000
Ni  0.500  0.500  0.500

Computed properties:
**Crystal system**: cubic
**Polymorph energy (0 for the lowest one)**: 1032 meV/atom
**Space group**: Pm-3m, No. 221
**Raw formation energy**: 0.7699 eV per atom

=====

Entry 2:
Entry from Alexandria via LeMat-Bulk: a relaxed ReNi2S crystal (PBE-GGA).

Unit cell a=8.078 b=2.982 c=9.166 alpha=90.00 beta=107.38 gamma=90.00
Sites, in units of the cell vectors:
Re  0.145  0.000  0.401
Re  0.145  0.500  0.901
Re  0.279  0.000  0.722
Re  0.279  0.500  0.222
S  0.914  0.000  0.848
S  0.914  0.500  0.348
S  0.688  0.000  0.052
S  0.688  0.500  0.552
Ni  0.006  0.000  0.096
Ni  0.006  0.500  0.596
Ni  0.400  0.000  0.048
Ni  0.400  0.500  0.548
Ni  0.632  0.000  0.717
Ni  0.632  0.500  0.217
Ni  0.527  0.000  0.384
Ni  0.527  0.500  0.884

Computed properties:
**Crystal system**: monoclinic
**Space group**: Cm, No. 8
**Raw formation energy**: -0.0277 eV per atom

=====

Entry 3:
Entry from Alexandria via LeMat-Bulk: a relaxed ReNi2S crystal (PBE-GGA).

Unit cell a=4.221 b=5.475 c=5.583 alpha=60.97 beta=68.38 gamma=80.05
Sites, in units of the cell vectors:
Re  0.733  0.875  0.064
Re  0.519  0.771  0.588
S  0.155  0.131  0.592
S  0.458  0.316  0.923
Ni  0.096  0.985  0.288
Ni  0.237  0.566  0.205
Ni  0.653  0.292  0.502
Ni  0.888  0.473  0.956

Computed properties:
**Crystal system**: triclinic
**Space group**: P1, No. 1
**Raw formation energy**: 0.0518 eV per atom

=====

Entry 4:
Entry from Alexandria via LeMat-Bulk: a relaxed ReNiSnS2 crystal (PBE-GGA).

Unit cell a=4.574 b=4.574 c=4.796 alpha=90.00 beta=90.00 gamma=90.00
Sites, in units of the cell vectors:
Re  0.000  0.000  0.000
S  0.000  0.500  0.000
S  0.500  0.000  0.000
Sn  0.500  0.500  0.500
Ni  0.000  0.000  0.500

Computed properties:
**Crystal system**: tetragonal
**Space group**: P4/mmm, No. 123
**Raw formation energy**: 0.3997 eV per atom

=====

Entry 5:
Entry from Alexandria via LeMat-Bulk: a relaxed ReNi2TeS crystal (PBE-GGA).

Unit cell a=4.082 b=5.494 c=4.082 alpha=90.00 beta=90.00 gamma=90.00
Sites, in units of the cell vectors:
Re  0.500  0.500  0.500
S  0.000  0.000  0.000
Te  0.000  0.500  0.000
Ni  0.000  0.000  0.500
Ni  0.500  0.000  0.000

Computed properties:
**Crystal system**: tetragonal
**Space group**: P4/mmm, No. 123
**Raw formation energy**: 0.9769 eV per atom

=====

Entry 6:
Entry from Alexandria via LeMat-Bulk: a relaxed Tl2ReNiS crystal (PBE-GGA).

Unit cell a=5.486 b=4.380 c=5.486 alpha=90.00 beta=90.00 gamma=90.00
Sites, in units of the cell vectors:
Re  0.000  0.000  0.000
Tl  0.000  0.000  0.500
Tl  0.500  0.000  0.000
S  0.000  0.500  0.000
Ni  0.500  0.500  0.500

Computed properties:
**Crystal system**: tetragonal
**Space group**: P4/mmm, No. 123
**Raw formation energy**: 0.8576 eV per atom

=====

| no. | uncorrected energy (eV/atom) |
| --- | --- |
| 1 | -5.352 |
| 2 | -7.062 |
| 3 | -6.983 |
| 4 | -5.698 |
| 5 | -5.279 |
| 6 | -4.560 |